[1]
{
  "formula": "La2Bi2Cl",
  "functional": "PBE",
  "state": "relaxed",
  "dft_energy_ev_per_atom": -5.118,
  "dos_ef_per_ev_atom": 0.464,
  "lattice": [[8.2876, 0.0000, 0.0000], [0.0000, 8.2876, 0.0000], [0.0000, 0.0000, 4.7033]],
  "species": ["La", "La", "La", "La", "Bi", "Bi", "Bi", "Bi", "Cl", "Cl"],
  "fractional_positions": [[0.1760, 0.3240, 0.0000], [0.3240, 0.8240, 0.0000], [0.6760, 0.1760, 0.0000], [0.8240, 0.6760, 0.0000], [0.1308, 0.6308, 0.5000], [0.3692, 0.1308, 0.5000], [0.6308, 0.8692, 0.5000], [0.8692, 0.3692, 0.5000], [0.0000, 0.0000, 0.0000], [0.5000, 0.5000, 0.0000]]
}

---

[2]
{
  "formula": "Ba2Mg6InPd",
  "functional": "PBE",
  "state": "relaxed",
  "formation_enthalpy_0k_ev_per_fu": -1.67,
  "dos_ef_per_ev_atom": 0.775,
  "lattice": [[0.0000, 5.3535, 5.3535], [5.3535, 0.0000, 5.3535], [5.3535, 5.3535, 0.0000]],
  "species": ["Ba", "Ba", "Mg", "Mg", "Mg", "Mg", "Mg", "Mg", "In", "Pd"],
  "fractional_positions": [[0.2500, 0.2500, 0.2500], [0.7500, 0.7500, 0.7500], [0.2355, 0.2355, 0.7645], [0.2355, 0.7645, 0.2355], [0.2355, 0.7645, 0.7645], [0.7645, 0.2355, 0.2355], [0.7645, 0.2355, 0.7645], [0.7645, 0.7645, 0.2355], [0.5000, 0.5000, 0.5000], [0.0000, 0.0000, 0.0000]]
}

---

[3]
{
  "formula": "GdZnAg",
  "functional": "PBE",
  "state": "relaxed",
  "formation_enthalpy_0k_ev_per_fu": -0.97,
  "dos_ef_per_ev_atom": 0.792,
  "lattice": [[4.6833, 0.0000, 0.0000], [-2.3417, 4.0559, 0.0000], [0.0000, 0.0000, 3.4166]],
  "species": ["Gd", "Zn", "Ag"],
  "fractional_positions": [[0.0000, 0.0000, 0.0000], [0.6667, 0.3333, 0.5000], [0.3333, 0.6667, 0.5000]]
}

---

[4]
{
  "formula": "KRbNa2Hg2",
  "functional": "PBE",
  "state": "relaxed",
  "formation_enthalpy_0k_ev_per_fu": -0.94,
  "dos_ef_per_ev_atom": 0.325,
  "lattice": [[5.6201, 0.0000, 0.0000], [-2.8100, 4.8671, 0.0000], [0.0000, 0.0000, 8.5918]],
  "species": ["K", "Rb", "Na", "Na", "Hg", "Hg"],
  "fractional_positions": [[0.0000, 0.0000, 0.0000], [0.0000, 0.0000, 0.5000], [0.3333, 0.6667, 0.7884], [0.6667, 0.3333, 0.2116], [0.3333, 0.6667, 0.2164], [0.6667, 0.3333, 0.7836]]
}